[1]
The following is a DFT calculation (PBE-GGA) of a relaxed structure of As3Au5.

Values from the calculation:
As for the space group: No. 65. For the total magnetic moment, the calculation gives 0.0 Bohr magnetons per cell. The value obtained for the formation energy is 0.182 eV/atom. The offset from the most stable computed form comes out at 127 meV per atom.

Cell and atoms, written as POSCAR:
```
As3Au5
1.0
-0.200 5.942 0.200
-5.886 -0.290 -0.817
-0.570 -0.159 4.162
Au As
5 3
Direct
0.741 0.259 0.500
0.259 0.741 0.500
0.500 0.000 0.000
0.000 0.500 0.000
0.000 0.000 0.000
0.764 0.764 0.500
0.500 0.500 0.000
0.236 0.236 0.500
```

=====

[2]
The following is a DFT calculation (PBE-GGA) of a relaxed structure of CoRe.

Values from the calculation:
As for the space group: No. 70. For the total magnetic moment, the calculation gives 9.6 Bohr magnetons per cell. The value obtained for the formation energy is 0.681 eV/atom.

Cell and atoms, written as POSCAR:
```
CoRe
1.0
-1.464 -1.435 6.488
7.041 -0.017 1.585
-0.393 8.715 1.839
Re Co
16 16
Direct
0.750 0.578 0.250
0.000 0.328 0.000
0.750 0.078 0.750
0.250 0.422 0.250
0.000 0.172 0.500
0.750 0.922 0.250
0.000 0.828 0.500
0.000 0.672 0.000
0.500 0.828 0.000
0.250 0.922 0.750
0.500 0.672 0.500
0.750 0.422 0.750
0.250 0.078 0.250
0.500 0.328 0.500
0.250 0.578 0.750
0.500 0.172 0.000
0.662 0.000 0.500
0.912 0.750 0.750
0.088 0.250 0.750
0.412 0.250 0.750
0.338 0.000 0.500
0.588 0.750 0.750
0.662 0.500 0.000
0.162 0.500 0.500
0.838 0.000 0.000
0.838 0.500 0.500
0.588 0.250 0.250
0.338 0.500 0.000
0.912 0.250 0.250
0.088 0.750 0.250
0.412 0.750 0.250
0.162 0.000 0.000
```

=====

[3]
The following is a DFT calculation (PBE-GGA) of a relaxed structure of RbW3Cl.

Values from the calculation:
As for the space group: No. 221. The uncorrected formation energy comes out at 2.332 eV per atom. For the total magnetic moment, the calculation gives 0.0 Bohr magnetons per cell. The offset from the most stable computed form comes out at 0 meV per atom.

Cell and atoms, written as POSCAR:
```
RbW3Cl
1.0
-1.252 0.945 -4.363
-3.418 -3.117 0.305
-2.871 3.299 1.539
Cl W Rb
1 3 1
Direct
0.000 0.000 0.000
0.000 0.500 0.000
0.500 0.000 0.000
0.000 0.000 0.500
0.500 0.500 0.500
```

=====

[4]
The following is a DFT calculation (PBE-GGA) of a relaxed structure of NdDy2Zn.

Values from the calculation:
As for the space group: No. 160. For the total magnetic moment, the calculation gives 0.0 Bohr magnetons per cell. The value obtained for the formation energy is -0.053 eV/atom. The offset from the most stable computed form comes out at 110 meV per atom.

Cell and atoms, written as POSCAR:
```
NdDy2Zn
1.0
3.620 0.000 0.000
1.810 3.135 0.000
1.810 1.045 10.334
Dy Nd Zn
2 1 1
Direct
0.070 0.070 0.789
0.263 0.263 0.211
0.500 0.500 0.499
0.666 0.666 0.001
```

=====

[5]
The following is a DFT calculation (PBE-GGA) of a relaxed structure of CaScHgSb2.

Values from the calculation:
As for the space group: No. 123. The uncorrected formation energy comes out at 0.384 eV per atom. For the total magnetic moment, the calculation gives 1.0 Bohr magnetons per cell.

Cell and atoms, written as POSCAR:
```
CaScHgSb2
1.0
5.629 0.000 0.000
0.000 5.354 0.000
0.000 0.000 5.629
Hg Sb Ca Sc
1 2 1 1
Direct
0.000 0.000 0.000
0.500 0.000 0.000
0.000 0.000 0.500
0.000 0.500 0.000
0.500 0.500 0.500
```

=====

[6]
The following is a DFT calculation (PBE-GGA) of a relaxed structure of MgMoBr3.

Values from the calculation:
As for the space group: No. 221. The uncorrected formation energy comes out at -0.045 eV per atom. For the total magnetic moment, the calculation gives 5.0 Bohr magnetons per cell. The offset from the most stable computed form comes out at 0 meV per atom.

Cell and atoms, written as POSCAR:
```
MgMoBr3
1.0
-3.102 -1.519 3.943
4.122 -0.010 3.239
-0.931 5.017 1.201
Br Mg Mo
3 1 1
Direct
0.500 0.000 0.000
0.000 0.000 0.500
0.000 0.500 0.000
0.000 0.000 0.000
0.500 0.500 0.500
```

=====

[7]
The following is a DFT calculation (PBE-GGA) of a relaxed structure of Ac3Sb5Pd6.

Values from the calculation:
As for the space group: No. 59. The uncorrected formation energy comes out at -0.891 eV per atom. For the total magnetic moment, the calculation gives 0.0 Bohr magnetons per cell.

Cell and atoms, written as POSCAR:
```
Ac3Sb5Pd6
1.0
4.604 0.000 0.000
0.000 10.534 0.000
0.000 0.000 13.840
Pd Ac Sb
12 6 10
Direct
0.000 0.997 0.165
0.000 0.491 0.500
0.500 0.390 0.818
0.000 0.610 0.682
0.500 0.003 0.335
0.500 0.390 0.182
0.000 0.007 0.500
0.000 0.997 0.835
0.500 0.003 0.665
0.500 0.993 0.000
0.000 0.610 0.318
0.500 0.509 0.000
0.500 0.759 0.500
0.000 0.241 0.000
0.000 0.250 0.670
0.000 0.250 0.330
0.500 0.750 0.170
0.500 0.750 0.830
0.000 0.866 0.334
0.000 0.515 0.129
0.000 0.853 0.000
0.500 0.485 0.371
0.500 0.147 0.500
0.000 0.515 0.871
0.500 0.134 0.166
0.500 0.134 0.834
0.000 0.866 0.666
0.500 0.485 0.629
```

=====

[8]
The following is a DFT calculation (PBE-GGA) of a relaxed structure of Y2ZrSe.

Values from the calculation:
As for the space group: No. 119. The uncorrected formation energy comes out at -0.288 eV per atom. For the total magnetic moment, the calculation gives 0.0 Bohr magnetons per cell.

Cell and atoms, written as POSCAR:
```
Y2ZrSe
1.0
-5.013 -1.202 -3.198
-2.454 -5.532 0.429
1.988 4.325 3.761
Se Y Zr
1 2 1
Direct
0.750 0.250 0.500
0.250 0.750 0.500
0.000 0.000 0.000
0.500 0.500 0.000
```

=====

[9]
The following is a DFT calculation (PBE-GGA) of a relaxed structure of Al2AgPb.

Values from the calculation:
As for the space group: No. 216. For the total magnetic moment, the calculation gives 0.0 Bohr magnetons per cell. The value obtained for the formation energy is 0.303 eV/atom.

Cell and atoms, written as POSCAR:
```
Al2AgPb
1.0
4.969 0.000 0.000
2.484 4.303 0.000
2.484 1.434 4.057
Pb Al Ag
1 2 1
Direct
0.250 0.250 0.250
0.000 0.000 0.000
0.750 0.750 0.750
0.500 0.500 0.500
```

=====

[10]
The following is a DFT calculation (PBE-GGA) of a relaxed structure of BaGaSnPt3.

Values from the calculation:
As for the space group: No. 63. For the total magnetic moment, the calculation gives 0.0 Bohr magnetons per cell. The value obtained for the formation energy is -0.615 eV/atom.

Cell and atoms, written as POSCAR:
```
BaGaSnPt3
1.0
6.474 0.000 0.000
0.000 5.984 0.000
0.000 -2.992 7.835
Pt Sn Ga Ba
6 2 2 2
Direct
0.750 0.759 0.517
0.000 0.241 0.000
0.250 0.241 0.483
0.500 0.759 0.000
0.500 0.241 0.000
0.000 0.759 0.000
0.750 0.592 0.183
0.250 0.408 0.817
0.750 0.916 0.831
0.250 0.084 0.169
0.750 0.273 0.546
0.250 0.727 0.454
```

=====

[11]
The following is a DFT calculation (PBE-GGA) of a relaxed structure of Ca2CoMo2.

Values from the calculation:
As for the space group: No. 139. For the total magnetic moment, the calculation gives 1.0 Bohr magnetons per cell. The value obtained for the formation energy is 1.206 eV/atom. The offset from the most stable computed form comes out at 648 meV per atom.

Cell and atoms, written as POSCAR:
```
Ca2CoMo2
1.0
5.967 0.000 0.000
0.000 5.967 0.000
2.984 2.984 3.466
Mo Co Ca
2 1 2
Direct
0.653 0.653 0.694
0.347 0.347 0.306
0.000 0.000 0.000
0.250 0.750 0.500
0.750 0.250 0.500
```

=====

[12]
The following is a DFT calculation (PBE-GGA) of a relaxed structure of Re2Ir.

Values from the calculation:
As for the space group: No. 63. For the total magnetic moment, the calculation gives 0.0 Bohr magnetons per cell. The value obtained for the formation energy is -0.128 eV/atom. The offset from the most stable computed form comes out at 65 meV per atom.

Cell and atoms, written as POSCAR:
```
Re2Ir
1.0
2.855 2.752 6.226
-3.903 -4.508 -4.351
3.521 -2.599 -0.466
Re Ir
4 2
Direct
0.613 0.387 0.250
0.945 0.055 0.250
0.055 0.945 0.750
0.387 0.613 0.750
0.277 0.723 0.250
0.723 0.277 0.750
```